A relaxed structure of MgHgRu2. Source: Alexandria, functional PBE.

Summary:
- DFT formation energy: 0.36 eV per atom
- V: 65.7 Å³/cell
- E above lowest polymorph: 289 meV per atom
- Density of states at the Fermi level: 0.98 states/eV/atom

Unit cell a=5.4261 b=5.4261 c=5.4261 alpha=147.49 beta=129.46 gamma=61.39
Fractional positions:
Hg 0.7500 0.2500 0.5000
Mg 0.2500 0.7500 0.5000
Ru 0.0051 0.0051 0.0000
Ru 0.4949 0.4949 0.0000

=====

A relaxed structure of BaSr2Li2Pb2. Source: Alexandria, functional PBE.

Summary:
- DFT formation energy: -0.44 eV per atom
- V: 245.6 Å³/cell
- Density of states at the Fermi level: 0.07 states/eV/atom

Unit cell a=5.2554 b=5.2554 c=10.7081 alpha=75.79 beta=75.79 gamma=60.00
Fractional positions:
Ba 0.0000 0.0000 0.0000
Sr 0.1279 0.1279 0.6162
Sr 0.8721 0.8721 0.3838
Li 0.5944 0.5944 0.2168
Li 0.4056 0.4056 0.7832
Pb 0.7457 0.7457 0.7628
Pb 0.2543 0.2543 0.2372

=====

A relaxed structure of KBaLa2. Source: Alexandria, functional PBE.

Summary:
- DFT formation energy: 0.35 eV per atom
- V: 187.3 Å³/cell
- E above lowest polymorph: 191 meV per atom
- Density of states at the Fermi level: 1.67 states/eV/atom

Unit cell a=6.9210 b=3.8551 c=7.0586 alpha=84.10 beta=90.00 gamma=90.00
Fractional positions:
Ba 0.5000 0.2500 0.2500
K 0.5000 0.7500 0.7500
La 0.0000 0.9835 0.0193
La 0.0000 0.5165 0.4807

=====

A relaxed structure of Ca2TaZn. Source: Alexandria, functional PBE.

Summary:
- DFT formation energy: 0.59 eV per atom
- V: 93.3 Å³/cell
- Density of states at the Fermi level: 1.07 states/eV/atom

Unit cell a=6.1614 b=6.1614 c=5.1153 alpha=65.51 beta=65.51 gamma=32.18
Fractional positions:
Zn 0.2500 0.2500 0.2500
Ca 0.9727 0.9727 0.0273
Ca 0.5273 0.5273 0.4727
Ta 0.7500 0.7500 0.7500

=====

A relaxed structure of CrCuAs. Source: Alexandria, functional PBE.

Summary:
- DFT formation energy: 0.41 eV per atom
- V: 44.9 Å³/cell
- Density of states at the Fermi level: 0.85 states/eV/atom

Unit cell a=6.7554 b=6.6569 c=2.6657 alpha=80.62 beta=76.47 gamma=22.91
Fractional positions:
As 0.0257 0.0257 0.9743
Cr 0.6672 0.6672 0.3328
Cu 0.3072 0.3072 0.6928